A plane-wave DFT calculation with GGA-PBE was carried out for an optimized crystal structure of Zn3Sn12Au5. Values from VASP.

Structure (Quantum ESPRESSO input):
```
&SYSTEM
  ibrav = 0, nat = 80, ntyp = 3
/
ATOMIC_SPECIES
Au 196.97 Au.upf
Sn 118.71 Sn.upf
Zn 65.41 Zn.upf
ATOMIC_POSITIONS angstrom
Au -0.2454 -7.2447 1.2165
Au -4.0646 -6.5857 7.7862
Au -6.4058 -6.0429 -3.1178
Au -0.5423 -4.0039 10.2075
Au -2.0307 -7.3148 -2.9771
Au 3.4080 -7.3709 4.6182
Au 3.9986 -5.8086 0.3768
Au -10.3561 -2.6760 2.4714
Au 2.5552 -3.5172 6.8988
Au 0.0000 0.0000 0.0000
Au -6.7027 -2.8022 5.8731
Au -2.8835 -3.4611 -0.6966
Au 3.3251 -7.1045 9.6039
Au -3.4741 -5.0234 3.5448
Au -3.8506 -9.5601 3.7810
Au -1.4434 2.2914 6.5220
Au -10.2733 -2.9423 -2.5142
Au -6.0293 -1.5062 -3.3540
Au -7.4726 0.7851 3.1680
Au -3.0975 -0.4867 3.3087
Sn 1.8797 -5.1515 4.7147
Sn -8.1590 0.5979 8.6032
Sn -1.4878 -9.2159 5.0336
Sn -8.5745 -6.6761 -4.5897
Sn -2.4137 -7.8862 -0.2523
Sn 1.2493 -5.3372 0.0343
Sn -5.1997 -7.2412 3.5106
Sn 1.1002 -9.5665 1.4794
Sn 3.0107 -6.2022 12.1253
Sn -0.9176 -6.1889 3.6048
Sn -0.6642 -0.0098 7.9344
Sn -6.2840 -10.0370 -0.8447
Sn -5.4603 -0.8310 2.0561
Sn -4.7177 -8.1288 -2.8543
Sn -8.8572 -0.7747 1.2845
Sn -0.5357 -2.7283 0.4085
Sn -8.8279 -4.8953 2.3750
Sn -4.2188 -5.2269 0.8427
Sn 4.0687 -8.0352 2.0899
Sn -9.9589 -3.8447 -5.0356
Sn -7.9296 -2.2034 -1.4045
Sn -3.1510 2.2883 8.7539
Sn -11.0168 -2.0116 4.9998
Sn -13.1754 0.2879 4.5694
Sn -1.8573 -10.1176 -2.8693
Sn 1.2109 -10.6447 -1.5136
Sn -3.5367 -10.4541 1.2566
Sn -5.0909 0.0708 9.9589
Sn -3.4115 0.4073 5.8331
Sn -7.5964 -8.0560 1.5807
Sn -2.2305 -1.9180 9.9439
Sn 1.9091 -9.2721 5.8051
Sn -4.5345 -2.1607 7.3420
Sn -8.0483 -0.4804 5.6103
Sn -6.4125 -7.3185 6.6812
Sn -2.3727 -8.6696 8.0421
Sn 0.1107 -4.6650 7.6763
Sn -2.7293 -4.8199 6.2470
Sn -4.5754 -1.3772 -0.9524
Sn -7.0588 -5.3818 -0.5866
Sn 0.6482 -1.9909 5.5090
Sn 1.6263 -3.3707 11.6794
Sn 6.2273 -10.3348 2.5202
Sn -1.7484 -2.8056 3.5791
Sn -3.7972 -12.3351 -1.6643
Sn -8.1975 -4.7096 7.0554
Sn -6.0306 -3.8580 3.4848
Sn 0.9814 -7.8434 8.4942
Zn -0.3283 -6.9783 6.2022
Zn -7.7181 -6.4595 4.3846
Zn 0.7699 -3.5873 2.7051
Zn -5.6874 0.8552 7.3617
Zn -4.9142 -10.7759 -3.6737
Zn -2.0339 0.7290 10.7634
Zn -5.1282 -7.8015 0.3316
Zn -1.8199 -2.2453 6.7581
Zn -10.5702 0.2984 6.4767
Zn -6.6198 -3.0685 0.8874
Zn 3.6220 -10.3452 0.6130
Zn -1.2608 -10.9021 -0.2720
CELL_PARAMETERS angstrom
-2.8867 4.5827 13.0439
-12.0585 -3.0124 -6.7079
7.9971 -11.6171 0.7537
```

Output
- volume (A^3/atom) = 27.11
- density (kg/m3) = 7980
- formation energy (eV per atom) = 0.0167
- crystal system = cubic
- DFT total energy (eV/atom) = -3.3954

A plane-wave DFT calculation with GGA-PBE was carried out for an optimized crystal structure of TbHoTh2N4. Values from VASP.

Structure (Quantum ESPRESSO input):
```
&SYSTEM
  ibrav = 0, nat = 8, ntyp = 4
/
ATOMIC_SPECIES
N 14.01 N.upf
Th 232.04 Th.upf
Tb 158.93 Tb.upf
Ho 164.93 Ho.upf
ATOMIC_POSITIONS angstrom
N 1.7910 3.0360 4.4430
N 0.0000 4.1194 1.5046
N 1.7910 0.9965 1.4426
N 0.0000 -0.0870 4.3809
Th 1.7910 -1.0835 2.8892
Th 0.0000 2.0162 2.9428
Tb 1.7910 3.0997 0.0536
Ho 0.0000 0.0000 0.0000
CELL_PARAMETERS angstrom
3.5820 0.0000 0.0000
0.0000 6.1994 0.1072
0.0000 -2.1670 5.7783
```

Output
- volume (A^3/atom) = 16.14
- density (kg/m3) = 10851
- crystal system = monoclinic
- DFT total energy (eV/atom) = -8.7878
- formation energy (no corrections) (meV per atom) = -1619

| no. | magnetic moment (μB per cell) |
| --- | --- |
| 1 | 0.0 |
| 2 | 0.0 |